1.
A relaxed structure of PmNd2SbO8. Source: the Alexandria database, functional PBE.

Lattice parameters (Å, degrees): 4.424 7.182 5.467 90.00 90.95 90.00
Sites, in units of the cell vectors:
Pm  0.000  0.000  0.000
Nd  0.500  0.245  0.500
Nd  0.500  0.755  0.500
Sb  0.000  0.500  0.000
O  0.052  0.293  0.755
O  0.052  0.707  0.755
O  0.429  0.500  0.123
O  0.450  0.000  0.249
O  0.550  0.000  0.751
O  0.571  0.500  0.877
O  0.948  0.293  0.245
O  0.948  0.707  0.245

Output
formation energy (no corrections): -2.423 eV/atom
energy: -7.263 eV per atom
symmetry: No. 10



2.
A relaxed structure of Pm2NdSnO. Source: the Alexandria database, functional PBE.

Lattice parameters (Å, degrees): 4.922 4.922 4.987 90.00 90.00 90.00
Sites, in units of the cell vectors:
Pm  0.000  0.500  0.000
Pm  0.500  0.000  0.000
Nd  0.000  0.000  0.500
Sn  0.500  0.500  0.500
O  0.000  0.000  0.000

Output
formation energy (no corrections): -1.469 eV/atom
energy: -6.115 eV per atom
symmetry: No. 123



3.
A relaxed structure of Pm2NdTcO8. Source: the Alexandria database, functional PBE.

Lattice parameters (Å, degrees): 5.183 5.183 6.964 90.00 90.00 90.00
Sites, in units of the cell vectors:
Pm  0.000  0.000  0.248
Pm  0.000  0.000  0.752
Nd  0.500  0.500  0.500
Tc  0.500  0.500  0.000
O  0.189  0.811  0.500
O  0.242  0.758  0.000
O  0.321  0.321  0.201
O  0.321  0.321  0.799
O  0.679  0.679  0.201
O  0.679  0.679  0.799
O  0.758  0.242  0.000
O  0.811  0.189  0.500

Output
formation energy (no corrections): -2.526 eV/atom
energy: -7.885 eV per atom
symmetry: No. 65



4.
A relaxed structure of PmNd2TcO8. Source: the Alexandria database, functional PBE.

Lattice parameters (Å, degrees): 5.205 6.967 5.208 90.00 90.20 90.00
Sites, in units of the cell vectors:
Pm  0.000  0.000  0.000
Nd  0.500  0.252  0.500
Nd  0.500  0.748  0.500
Tc  0.000  0.500  0.000
O  0.178  0.298  0.823
O  0.178  0.702  0.823
O  0.256  0.500  0.258
O  0.307  0.000  0.309
O  0.693  0.000  0.691
O  0.744  0.500  0.742
O  0.822  0.298  0.177
O  0.822  0.702  0.177

Output
formation energy (no corrections): -2.510 eV/atom
energy: -7.870 eV per atom
symmetry: No. 10



5.
A relaxed structure of PmNdTe2O. Source: the Alexandria database, functional PBE.

Lattice parameters (Å, degrees): 4.236 4.236 16.314 90.00 90.00 90.00
Sites, in units of the cell vectors:
Pm  0.250  0.250  0.066
Pm  0.750  0.750  0.934
Nd  0.250  0.250  0.638
Nd  0.750  0.750  0.362
Te  0.250  0.250  0.418
Te  0.250  0.250  0.819
Te  0.750  0.750  0.181
Te  0.750  0.750  0.582
O  0.250  0.750  0.000
O  0.750  0.250  0.000

Output
formation energy (no corrections): -2.063 eV/atom
energy: -6.215 eV per atom
symmetry: No. 129



6.
A relaxed structure of PmNd2TeO8. Source: the Alexandria database, functional PBE.

Lattice parameters (Å, degrees): 4.300 7.304 5.458 90.00 94.74 90.00
Sites, in units of the cell vectors:
Pm  0.000  0.000  0.000
Nd  0.500  0.252  0.500
Nd  0.500  0.748  0.500
Te  0.000  0.500  0.000
O  0.064  0.296  0.767
O  0.064  0.704  0.767
O  0.407  0.500  0.184
O  0.468  0.000  0.248
O  0.532  0.000  0.752
O  0.593  0.500  0.816
O  0.936  0.296  0.233
O  0.936  0.704  0.233

Output
formation energy (no corrections): -2.371 eV/atom
energy: -7.129 eV per atom
symmetry: No. 10



7.
A relaxed structure of PmNdTeO2. Source: the Alexandria database, functional PBE.

Lattice parameters (Å, degrees): 7.007 4.192 8.062 90.00 106.36 90.00
Sites, in units of the cell vectors:
Pm  0.169  0.250  0.422
Pm  0.831  0.750  0.578
Nd  0.169  0.250  0.912
Nd  0.831  0.750  0.088
Te  0.449  0.750  0.736
Te  0.551  0.250  0.264
O  0.002  0.750  0.876
O  0.018  0.750  0.378
O  0.982  0.250  0.622
O  0.998  0.250  0.124

Output
formation energy (no corrections): -2.888 eV/atom
energy: -7.404 eV per atom
symmetry: No. 11



8.
A relaxed structure of PmNdTe2O8. Source: the Alexandria database, functional PBE.

Lattice parameters (Å, degrees): 6.391 6.391 6.391 107.25 107.25 114.01
Sites, in units of the cell vectors:
Pm  0.000  0.000  0.000
Nd  0.250  0.750  0.500
Te  0.500  0.500  0.000
Te  0.750  0.250  0.500
O  0.304  0.122  0.818
O  0.304  0.487  0.182
O  0.370  0.054  0.315
O  0.513  0.696  0.818
O  0.739  0.054  0.685
O  0.878  0.696  0.182
O  0.946  0.261  0.315
O  0.946  0.630  0.685

Output
formation energy (no corrections): -1.917 eV/atom
energy: -6.540 eV per atom
symmetry: No. 119



9.
A relaxed structure of Pm2NdTlO. Source: the Alexandria database, functional PBE.

Lattice parameters (Å, degrees): 4.943 4.943 4.992 90.00 90.00 90.00
Sites, in units of the cell vectors:
Pm  0.000  0.500  0.000
Pm  0.500  0.000  0.000
Nd  0.000  0.000  0.500
Tl  0.500  0.500  0.500
O  0.000  0.000  0.000

Output
formation energy (no corrections): -1.356 eV/atom
energy: -5.675 eV per atom
symmetry: No. 123



10.
A relaxed structure of PmNd2TlO6. Source: the Alexandria database, functional PBE.

Lattice parameters (Å, degrees): 6.262 6.262 6.262 57.53 57.53 57.53
Sites, in units of the cell vectors:
Pm  0.000  0.000  0.000
Nd  0.279  0.279  0.279
Nd  0.778  0.778  0.778
Tl  0.498  0.498  0.498
O  0.104  0.684  0.382
O  0.189  0.607  0.877
O  0.382  0.104  0.684
O  0.607  0.877  0.189
O  0.684  0.382  0.104
O  0.877  0.189  0.607

Output
formation energy (no corrections): -2.642 eV/atom
energy: -7.282 eV per atom
symmetry: No. 146



11.
A relaxed structure of Pm12NdTl4O3. Source: the Alexandria database, functional PBE.

Lattice parameters (Å, degrees): 8.850 8.850 8.850 109.47 109.47 109.47
Sites, in units of the cell vectors:
Pm  0.000  0.273  0.273
Pm  0.000  0.727  0.727
Pm  0.250  0.500  0.750
Pm  0.250  0.750  0.500
Pm  0.273  0.000  0.273
Pm  0.273  0.273  0.000
Pm  0.500  0.250  0.750
Pm  0.500  0.750  0.250
Pm  0.727  0.000  0.727
Pm  0.727  0.727  0.000
Pm  0.750  0.250  0.500
Pm  0.750  0.500  0.250
Nd  0.000  0.000  0.000
Tl  0.000  0.000  0.500
Tl  0.000  0.500  0.000
Tl  0.500  0.000  0.000
Tl  0.500  0.500  0.500
O  0.000  0.500  0.500
O  0.500  0.000  0.500
O  0.500  0.500  0.000

Output
formation energy (no corrections): -0.742 eV/atom
energy: -5.048 eV per atom
symmetry: No. 229



12.
A relaxed structure of Pm4Nd2Tl3O2. Source: the Alexandria database, functional PBE.

Lattice parameters (Å, degrees): 13.280 13.280 13.280 159.03 159.03 29.83
Sites, in units of the cell vectors:
Pm  0.085  0.585  0.500
Pm  0.415  0.915  0.500
Pm  0.585  0.085  0.500
Pm  0.915  0.415  0.500
Nd  0.197  0.197  0.000
Nd  0.803  0.803  0.000
Tl  0.324  0.324  0.000
Tl  0.500  0.500  0.000
Tl  0.676  0.676  0.000
O  0.102  0.102  0.000
O  0.898  0.898  0.000

Output
formation energy (no corrections): -1.215 eV/atom
energy: -5.356 eV per atom
symmetry: No. 139



13.
A relaxed structure of Pm2Nd4Tl3O2. Source: the Alexandria database, functional PBE.

Lattice parameters (Å, degrees): 13.284 13.284 13.284 158.91 158.91 29.99
Sites, in units of the cell vectors:
Pm  0.198  0.198  0.000
Pm  0.802  0.802  0.000
Nd  0.086  0.586  0.500
Nd  0.414  0.914  0.500
Nd  0.586  0.086  0.500
Nd  0.914  0.414  0.500
Tl  0.323  0.323  0.000
Tl  0.500  0.500  0.000
Tl  0.677  0.677  0.000
O  0.104  0.104  0.000
O  0.896  0.896  0.000

Output
formation energy (no corrections): -1.197 eV/atom
energy: -5.341 eV per atom
symmetry: No. 139



14.
A relaxed structure of PmNd2TlO. Source: the Alexandria database, functional PBE.

Lattice parameters (Å, degrees): 4.992 4.992 4.940 90.00 90.00 90.00
Sites, in units of the cell vectors:
Pm  0.000  0.000  0.000
Nd  0.000  0.500  0.500
Nd  0.500  0.000  0.500
Tl  0.500  0.500  0.000
O  0.000  0.000  0.500

Output
formation energy (no corrections): -1.351 eV/atom
energy: -5.673 eV per atom
symmetry: No. 123